! NaLi2CoF6 | the Alexandria database | PBE with a Hubbard U | relaxed; values from VASP
! spin magnetization: 0.11 Bohr magnetons per cell
! DFT total energy: -4.415 eV per atom
&SYSTEM
  ibrav = 0, nat = 10, ntyp = 4
/
ATOMIC_SPECIES
F 19.00 F.upf
Na 22.99 Na.upf
Co 58.93 Co.upf
Li 6.94 Li.upf
ATOMIC_POSITIONS angstrom
F 2.567 -6.380 4.682
Na 0.769 -5.776 3.695
F -0.359 -6.286 5.439
F 1.026 -3.789 4.442
Co 0.000 0.000 0.000
F 1.897 -5.267 1.951
Li 0.384 -2.888 1.848
F 0.511 -7.763 2.948
F -1.029 -5.172 2.708
Li 1.153 -8.664 5.543
CELL_PARAMETERS angstrom
2.870 -4.827 0.447
1.248 -2.075 5.087
-2.581 -4.651 1.856